(1)
## SmNi3Ir2 (PBE)

Data for crystalline SmNi3Ir2 at its relaxed geometry.

Properties
total magnetic moment: 0.000 μB per formula unit
crystal system: orthorhombic
D(E_F): 13.78 states/eV per cell
ΔH_f (0 K): -25 kJ/mol of atoms
electronic total energy: -6.886 eV/atom

abc: 5.111 6.201 6.201
angles: 96.63 90.00 90.00
Element x y z (fractional)
1 Sm 0.250 0.302 0.302
2 Sm 0.750 0.698 0.698
3 Ni 0.750 0.449 0.076
4 Ni 0.750 0.076 0.449
5 Ni 0.250 0.551 0.924
6 Ni 0.750 0.057 0.057
7 Ni 0.250 0.943 0.943
8 Ni 0.250 0.924 0.551
9 Ir 0.500 0.772 0.228
10 Ir 0.000 0.772 0.228
11 Ir 0.000 0.228 0.772
12 Ir 0.500 0.228 0.772

(2)
## VHgSCl2 (PBE)

Data for crystalline VHgSCl2 at its relaxed geometry.

Properties
total magnetic moment: 1.523 μB per formula unit
energy relative to the elements, uncorrected: -503.4 meV per atom
crystal system: tetragonal
D(E_F): 4.51 states/eV per cell
offset from the most stable computed form: 0.00 eV per formula unit
electronic total energy: -3.952 eV/atom

abc: 4.897 4.897 4.621
angles: 90.00 90.00 90.00
Last column: magnetic moment on the atom in μB.
Element x y z (fractional)
1 S 0.000 0.000 0.500  -0.21
2 Cl 0.000 0.500 0.000  0.00
3 Cl 0.500 0.000 0.000  0.00
4 Hg 0.500 0.500 0.500  -0.03
5 V 0.000 0.000 0.000  1.68

Repeat the second record exactly.
## VHgSCl2 (PBE)

Data for crystalline VHgSCl2 at its relaxed geometry.

Properties
total magnetic moment: 1.523 μB per formula unit
energy relative to the elements, uncorrected: -503.4 meV per atom
crystal system: tetragonal
D(E_F): 4.51 states/eV per cell
offset from the most stable computed form: 0.00 eV per formula unit
electronic total energy: -3.952 eV/atom

abc: 4.897 4.897 4.621
angles: 90.00 90.00 90.00
Last column: magnetic moment on the atom in μB.
Element x y z (fractional)
1 S 0.000 0.000 0.500  -0.21
2 Cl 0.000 0.500 0.000  0.00
3 Cl 0.500 0.000 0.000  0.00
4 Hg 0.500 0.500 0.500  -0.03
5 V 0.000 0.000 0.000  1.68

- Which of these has the highest total magnetic moment?
  VHgSCl2